(1)
A plane-wave DFT calculation with PBE was carried out for an optimized crystal structure of BaSiP2.

Cell: 10.5155 10.5157 14.8322 Å, 90.00 100.22 90.00°
Space group C2/c (No. 15)
Unique sites:
Ba: 0.0361 0.1868 0.3952 x8
Ba: 0.2145 0.4382 0.1099 x8
Si: 0.1032 0.1889 0.6673 x8
Si: 0.1443 0.4364 0.8327 x8
P: 0.0000 0.0568 0.7500 x4
P: 0.0000 0.4310 0.2500 x4
P: 0.0435 0.3135 0.9266 x8
P: 0.2067 0.0625 0.5764 x8
P: 0.2438 0.1877 0.2496 x8

Results
Total magnetic moment in μB per cell: 0.00
Energy relative to the elements, uncorrected in meV per atom: -707
Energy in eV per atom: -5.249

---

(2)
A plane-wave DFT calculation with PBE was carried out for an optimized crystal structure of BaSiP3.

Cell: 5.5616 5.5616 5.5616 Å, 90.00 90.00 90.00°
Space group Pm-3m (No. 221)
Unique sites:
Ba: 0.0000 0.0000 0.0000 x1
Si: 0.5000 0.5000 0.5000 x1
P: 0.0000 0.0000 0.5000 x3

Results
Total magnetic moment in μB per cell: 0.00
Energy above the lowest structure with this stoichiometry in eV per formula unit: 9.19
Energy relative to the elements, uncorrected in meV per atom: 1806
Energy in eV per atom: -2.909

---

(3)
A plane-wave DFT calculation with PBE was carried out for an optimized crystal structure of Ba2SiP.

Cell: 5.3210 5.3285 8.7891 Å, 90.00 90.12 90.00°
Space group C2/m (No. 12)
Unique sites:
Ba: 0.0009 0.0000 0.2691 x4
Si: 0.0000 0.5000 0.0000 x2
P: 0.0000 0.5000 0.5000 x2

Results
Total magnetic moment in μB per cell: 0.00
Energy above the lowest structure with this stoichiometry in eV per formula unit: 1.22
Energy relative to the elements, uncorrected in meV per atom: -320
Energy in eV per atom: -3.990